1.
The following is a PBE-GGA calculation of an optimized crystal structure of Pm3AlTe2, from Alexandria.

Cell lengths 4.294, 6.277, 13.747 Å; angles 90.00, 90.00, 90.00 degrees
Space group Immm (No. 71)
Inequivalent atoms, fractional coordinates:
Pm1 0.000 0.000 0.000
Pm2 0.000 0.000 0.339
Al1 0.000 0.500 0.000
Te1 0.000 0.500 0.330

Calculated values
E_tot ... -30.59 eV/f.u.
DOS(E_F) ... 1.31 states/eV/f.u.
Volume ... 30.88 Å³ per atom

=====

2.
The following is a PBE-GGA calculation of an optimized crystal structure of NaCo2Rh, from Alexandria.

Cell lengths 7.036, 7.036, 5.231 Å; angles 90.00, 90.00, 90.00 degrees
Space group I-42d (No. 122)
Inequivalent atoms, fractional coordinates:
Na1 0.000 0.000 0.000
Co1 0.207 0.250 0.625
Rh1 0.000 0.000 0.500

Calculated values
E_tot ... -19.71 eV/f.u.
DOS(E_F) ... 5.86 states/eV/f.u.
Energy above the lowest structure with this stoichiometry ... 0.237 eV/atom
Volume ... 16.19 Å³ per atom
Energy of formation ... 0.794 eV per atom

=====

3.
The following is a PBE-GGA calculation of an optimized crystal structure of La2Dy3Mg, from Alexandria.

Cell lengths 9.979, 11.783, 6.708 Å; angles 90.00, 93.26, 90.00 degrees
Space group C2/c (No. 15)
Inequivalent atoms, fractional coordinates:
La1 0.161 0.237 0.214
Dy1 0.000 0.048 0.750
Dy2 0.188 0.487 0.492
Mg1 0.000 0.318 0.750

Calculated values
E_tot ... -24.53 eV/f.u.
DOS(E_F) ... 7.47 states/eV/f.u.
Volume ... 32.81 Å³ per atom
Energy of formation ... 0.121 eV per atom

=====

4.
The following is a PBE-GGA calculation of an optimized crystal structure of Tl2SnPb2, from Alexandria.

Cell lengths 9.364, 9.364, 3.613 Å; angles 90.00, 90.00, 90.00 degrees
Space group P4/mbm (No. 127)
Inequivalent atoms, fractional coordinates:
Tl1 0.128 0.372 0.000
Sn1 0.000 0.000 0.500
Pb1 0.172 0.672 0.500

Calculated values
E_tot ... -15.45 eV/f.u.
DOS(E_F) ... 3.01 states/eV/f.u.
Energy above the lowest structure with this stoichiometry ... 0.129 eV/atom
Volume ... 31.68 Å³ per atom
Energy of formation ... 0.140 eV per atom

=====

5.
The following is a PBE-GGA calculation of an optimized crystal structure of CoCuOs3, from Alexandria.

Cell lengths 4.386, 4.386, 4.386 Å; angles 90.00, 90.00, 90.00 degrees
Space group Pm-3m (No. 221)
Inequivalent atoms, fractional coordinates:
Co1 0.000 0.000 0.000
Cu1 0.500 0.500 0.500
Os1 0.000 0.000 0.500

Calculated values
E_tot ... -34.86 eV/f.u.
DOS(E_F) ... 11.45 states/eV/f.u.
Energy above the lowest structure with this stoichiometry ... 0.000 eV/atom
Volume ... 16.87 Å³ per atom
Energy of formation ... 2.006 eV per atom

=====

6.
The following is a PBE-GGA calculation of an optimized crystal structure of ReP, from Alexandria.

Cell lengths 3.108, 3.108, 5.653 Å; angles 90.00, 90.00, 90.00 degrees
Space group P4/nmm (No. 129, origin choice 2)
Inequivalent atoms, fractional coordinates:
Re1 0.250 0.250 0.193
P1 0.250 0.250 0.633

Calculated values
E_tot ... -18.10 eV/f.u.
DOS(E_F) ... 0.33 states/eV/f.u.
Energy above the lowest structure with this stoichiometry ... 0.168 eV/atom
Volume ... 13.65 Å³ per atom
Energy of formation ... -0.121 eV per atom

=====

7.
The following is a PBE-GGA calculation of an optimized crystal structure of Hf3Cu5Te12, from Alexandria.

Cell lengths 16.229, 16.229, 16.229 Å; angles 90.00, 90.00, 90.00 degrees
Space group Ia-3d (No. 230)
Inequivalent atoms, fractional coordinates:
Hf1 0.000 0.250 0.125
Cu1 0.000 0.000 0.000
Cu2 0.000 0.250 0.375
Te1 0.023 0.066 0.653

Calculated values
E_tot ... -92.57 eV/f.u.
DOS(E_F) ... 13.87 states/eV/f.u.
Volume ... 26.71 Å³ per atom

=====

8.
The following is a PBE-GGA calculation of an optimized crystal structure of HoEr2Au4, from Alexandria.

Cell lengths 7.338, 9.530, 4.903 Å; angles 90.00, 90.00, 90.00 degrees
Space group Cmmm (No. 65)
Inequivalent atoms, fractional coordinates:
Ho1 0.000 0.000 0.000
Er1 0.000 0.286 0.500
Au1 0.209 0.000 0.500
Au2 0.250 0.250 0.000

Calculated values
E_tot ... -31.96 eV/f.u.
DOS(E_F) ... 5.28 states/eV/f.u.
Volume ... 24.49 Å³ per atom
Energy of formation ... -0.735 eV per atom

=====

9.
The following is a PBE-GGA calculation of an optimized crystal structure of AlCrGa2, from Alexandria.

Cell lengths 7.115, 7.115, 5.158 Å; angles 90.00, 90.00, 90.00 degrees
Space group I-42d (No. 122)
Inequivalent atoms, fractional coordinates:
Al1 0.000 0.000 0.000
Cr1 0.000 0.000 0.500
Ga1 0.230 0.250 0.625

Calculated values
E_tot ... -17.59 eV/f.u.
DOS(E_F) ... 2.80 states/eV/f.u.
Volume ... 16.32 Å³ per atom
Energy of formation ... 0.457 eV per atom

=====

10.
The following is a PBE-GGA calculation of an optimized crystal structure of Mn2RhW, from Alexandria.

Cell lengths 3.732, 3.732, 7.727 Å; angles 90.00, 90.00, 90.00 degrees
Space group I-4m2 (No. 119)
Inequivalent atoms, fractional coordinates:
Mn1 0.000 0.000 0.000
Mn2 0.000 0.500 0.250
Rh1 0.000 0.500 0.750
W1 0.000 0.000 0.500

Calculated values
E_tot ... -38.70 eV/f.u.
DOS(E_F) ... 3.83 states/eV/f.u.
Energy above the lowest structure with this stoichiometry ... 0.001 eV/atom
Volume ... 13.46 Å³ per atom
Energy of formation ... -0.014 eV per atom

=====

11.
The following is a PBE-GGA calculation of an optimized crystal structure of Mg3AlIn4, from Alexandria.

Cell lengths 17.691, 4.629, 4.629 Å; angles 90.00, 103.63, 90.00 degrees
Space group C2/m (No. 12)
Inequivalent atoms, fractional coordinates:
Mg1 0.000 0.000 0.000
Mg2 0.249 0.000 0.249
Al1 0.000 0.500 0.500
In1 0.123 0.000 0.623
In2 0.123 0.500 0.122

Calculated values
E_tot ... -19.71 eV/f.u.
DOS(E_F) ... 2.14 states/eV/f.u.
Volume ... 23.03 Å³ per atom
Energy of formation ... -0.029 eV per atom

=====

12.
The following is a PBE-GGA calculation of an optimized crystal structure of Al2SiCl, from Alexandria.

Cell lengths 2.901, 5.034, 5.078 Å; angles 90.00, 96.77, 90.00 degrees
Space group P2/m (No. 10)
Inequivalent atoms, fractional coordinates:
Al1 0.248 0.000 0.259
Si1 0.500 0.500 0.500
Cl1 0.500 0.500 0.000

Calculated values
E_tot ... -14.02 eV/f.u.
DOS(E_F) ... 0.86 states/eV/f.u.
Energy above the lowest structure with this stoichiometry ... 0.223 eV/atom
Volume ... 18.41 Å³ per atom